[1]
FeCN3 | Alexandria via LeMat-Bulk | GGA-PBE | optimized geometry; volume = 7.10 A^3/atom; formation energy (no corrections) = 11.47 eV/f.u.; density = 5.14 g cm⁻³; SG = Pm-3m (221)
1.0
3.2872 0.0000 0.0000
0.0000 3.2872 0.0000
0.0000 0.0000 3.2872
Fe C N
1 1 3
Direct
0.0000 0.0000 0.0000
0.5000 0.5000 0.5000
0.0000 0.5000 0.5000
0.5000 0.0000 0.5000
0.5000 0.5000 0.0000



[2]
FeCN3 | Alexandria via LeMat-Bulk | GGA-PBE | optimized geometry; volume = 9.47 A^3/atom; formation energy (no corrections) = 13.12 eV/f.u.; density = 3.85 g cm⁻³; SG = Pm-3m (221)
1.0
3.6175 0.0000 0.0000
0.0000 3.6175 0.0000
0.0000 0.0000 3.6175
Fe C N
1 1 3
Direct
0.0000 0.0000 0.0000
0.5000 0.5000 0.5000
0.0000 0.0000 0.5000
0.0000 0.5000 0.0000
0.5000 0.0000 0.0000



[3]
FeC6N6 | Alexandria via LeMat-Bulk | GGA-PBE | optimized geometry; relative energy among the computed polymorphs = 0.000 eV per atom; volume = 13.89 A^3/atom; formation energy (no corrections) = 11.12 eV/f.u.; density = 1.95 g cm⁻³; SG = P2_1/c (14)
1.0
5.7111 0.0000 0.0000
0.0000 10.0247 0.0000
-0.1788 0.0000 6.3072
Fe C N
2 12 12
Direct
0.0000 0.0000 0.0000
0.0000 0.5000 0.5000
0.1715 0.1667 0.0032
0.1715 0.3333 0.5032
0.1755 0.5592 0.2768
0.1751 0.5588 0.7330
0.1751 0.9412 0.2330
0.1755 0.9408 0.7768
0.8245 0.0592 0.2232
0.8249 0.0588 0.7670
0.8249 0.4412 0.2670
0.8245 0.4408 0.7232
0.8285 0.6667 0.4968
0.8285 0.8333 0.9968
0.2480 0.5848 0.9063
0.2480 0.9152 0.4063
0.2493 0.5852 0.1074
0.2493 0.9148 0.6074
0.2710 0.2310 0.5044
0.2710 0.2690 0.0044
0.7290 0.7310 0.9956
0.7290 0.7690 0.4956
0.7507 0.0852 0.3926
0.7507 0.4148 0.8926
0.7520 0.0848 0.5937
0.7520 0.4152 0.0937